{
  "formula": "Ta3SiO",
  "functional": "PBE",
  "state": "relaxed",
  "lattice": [[4.199, 0.000, 0.000], [0.000, 4.199, 0.000], [0.000, 0.000, 4.199]],
  "species": ["Ta", "Ta", "Ta", "Si", "O"],
  "fractional_positions": [[0.000, 0.000, 0.500], [0.000, 0.500, 0.000], [0.500, 0.000, 0.000], [0.500, 0.500, 0.500], [0.000, 0.000, 0.000]],
  "density_kg_m3": 13167,
  "energy_ev_per_atom": -9.7205
}